Density functional theory data (PBEsol) for a relaxed structure of SbSe2.

```
SbSe2
1.0
-0.6732 2.2851 3.0348
1.7141 -3.4197 0.5027
5.1728 2.4863 -0.7246
Se Sb
2 1
Direct
0.3333 0.6667 0.7081 Se
0.6667 0.3333 0.2919 Se
0.0000 0.0000 0.0000 Sb
```

- raw formation energy (eV/atom) = -0.166
- space group = No. 164
- theoretical density (g/cm3) = 6.2

Density functional theory data (PBEsol) for a relaxed structure of SbSe2.

```
SbSe2
1.0
-2.3639 3.0224 -0.9052
-2.6718 -3.1945 -3.6886
-3.2030 -3.4791 5.3331
Sb Se
2 4
Direct
0.1614 0.2500 0.3229 Sb
0.8386 0.7500 0.6771 Sb
0.8182 0.2500 0.6363 Se
0.4860 0.7500 0.9720 Se
0.1818 0.7500 0.3637 Se
0.5140 0.2500 0.0280 Se
```

- raw formation energy (eV/atom) = -0.160
- space group = No. 63
- theoretical density (g/cm3) = 6.2

Density functional theory data (PBEsol) for a relaxed structure of Sb2Se.

```
Sb2Se
1.0
-0.3325 0.6618 -5.1685
2.7403 -3.9940 1.9496
-5.0093 -3.4983 -0.1257
Se Sb
2 4
Direct
0.3333 0.6667 0.7500 Se
0.6667 0.3333 0.2500 Se
0.6667 0.3333 0.7500 Sb
0.3333 0.6667 0.2500 Sb
0.0000 0.0000 0.5000 Sb
0.0000 0.0000 0.0000 Sb
```

- raw formation energy (eV/atom) = 0.178
- space group = No. 194
- theoretical density (g/cm3) = 7.4